# 1
Here is an optimized crystal structure of Th6Te3POs2 from Alexandria via LeMat-Bulk. Energies are from PBE.

Cell: 7.3411 7.3411 7.9490 Å, 98.79 98.79 119.96°
Atoms (fractional coordinates):
Th 0.0842 0.4306 0.7960
Th 0.2208 0.2208 0.2035
Th 0.4306 0.0842 0.7960
Th 0.5694 0.9158 0.2040
Th 0.7792 0.7792 0.7965
Th 0.9158 0.5694 0.2040
Te 0.0000 0.0000 0.5000
Te 0.3382 0.6618 0.5000
Te 0.6618 0.3382 0.5000
P 0.5000 0.5000 0.0000
Os 0.1675 0.8325 0.0000
Os 0.8325 0.1675 0.0000

Summary:
Its symmetry is C2/m, No. 12. The calculation puts the formation energy (no corrections) at -1.001 eV per atom. For the total energy, the calculation gives -7.819 eV per atom. The calculation puts the density of states at the Fermi level at 7.69 states/eV per cell. The total magnetization is 0.00 μB/f.u.

# 2
Here is an optimized crystal structure of ThVP2Os from Alexandria via LeMat-Bulk. Energies are from PBE.

Cell: 5.7386 5.7386 5.7386 Å, 137.67 137.67 61.40°
Atoms (fractional coordinates):
Th 0.0000 0.0000 0.0000
V 0.7500 0.2500 0.5000
P 0.3689 0.3689 0.0000
P 0.6311 0.6311 0.0000
Os 0.2500 0.7500 0.5000

Summary:
Its symmetry is I-4m2, No. 119. For the total energy, the calculation gives -8.524 eV per atom. The calculation puts the density of states at the Fermi level at 4.01 states/eV per cell. The total magnetization is 1.74 μB/f.u. For the formation enthalpy at 0 K, the calculation gives -807 meV per atom.

# 3
Here is an optimized crystal structure of TiPOs3 from Alexandria via LeMat-Bulk. Energies are from PBE.

Cell: 4.3337 4.3337 4.3337 Å, 90.00 90.00 90.00°
Atoms (fractional coordinates):
Ti 0.0000 0.0000 0.0000
P 0.5000 0.5000 0.5000
Os 0.0000 0.5000 0.5000
Os 0.5000 0.0000 0.5000
Os 0.5000 0.5000 0.0000

Summary:
Its symmetry is Pm-3m, No. 221. For the total energy, the calculation gives -8.875 eV per atom. The calculation puts the density of states at the Fermi level at 4.51 states/eV per cell. The total magnetization is 0.00 μB/f.u. For the formation enthalpy at 0 K, the calculation gives 524 meV per atom.